## BaNdFe4O12 (PBE+U)

Data for a relaxed structure of BaNdFe4O12.

Cell: 5.477 5.477 7.725 Å, 90.00 90.00 90.00°
Each line ends with the local moment (μB).
Fractional positions:
Ba  0.500  0.500  0.000  -0.01
Nd  0.000  0.000  0.500  0.00
Fe  0.000  0.500  0.750  3.87
Fe  0.000  0.500  0.250  3.87
Fe  0.500  0.000  0.250  3.87
Fe  0.500  0.000  0.750  3.87
O  0.241  0.241  0.264  0.26
O  0.241  0.241  0.736  0.26
O  0.759  0.759  0.736  0.26
O  0.759  0.759  0.264  0.26
O  0.759  0.241  0.736  0.26
O  0.759  0.241  0.264  0.26
O  0.241  0.759  0.736  0.26
O  0.241  0.759  0.264  0.26
O  0.000  0.500  0.500  0.27
O  0.000  0.500  0.000  0.29
O  0.500  0.000  0.500  0.27
O  0.500  0.000  0.000  0.29

## Properties
raw total energy = -6.23 eV per atom
mass density = 4.99 Mg/m³